(1)
Below is crystalline Tm2AsH at its relaxed geometry, with properties calculated at the GGA-PBE level.

Unit cell a=7.287 b=7.287 c=7.287 alpha=30.40 beta=30.40 gamma=30.40
Atoms (fractional coordinates):
Tm 0.000 0.000 0.000
Tm 0.170 0.170 0.170
As 0.581 0.581 0.581
H 0.353 0.353 0.353

Values from the calculation:
- space-group type = R3m (160)
- energy above the lowest structure with this stoichiometry (meV per atom) = 206.5

***

(2)
Below is crystalline Ho2ErTl at its relaxed geometry, with properties calculated at the GGA-PBE level.

Unit cell a=11.042 b=11.042 c=11.042 alpha=18.62 beta=18.62 gamma=18.62
Atoms (fractional coordinates):
Ho 0.000 0.000 0.000
Ho 0.173 0.173 0.173
Er 0.420 0.420 0.420
Tl 0.586 0.586 0.586

Values from the calculation:
- space-group type = R3m (160)
- energy above the lowest structure with this stoichiometry (meV per atom) = 58.3

***

(3)
Below is crystalline Ti2V7Tc2 at its relaxed geometry, with properties calculated at the GGA-PBE level.

Unit cell a=4.985 b=4.985 c=7.192 alpha=91.46 beta=91.46 gamma=113.32
Atoms (fractional coordinates):
Ti 0.245 0.755 0.000
Ti 0.755 0.245 0.000
V 0.000 0.000 0.500
V 0.131 0.505 0.368
V 0.264 0.264 0.746
V 0.495 0.869 0.632
V 0.505 0.131 0.368
V 0.736 0.736 0.254
V 0.869 0.495 0.632
Tc 0.263 0.263 0.099
Tc 0.737 0.737 0.901

Values from the calculation:
- space-group type = C2/m (12)

***

Total energy in Ha/atom, matching the order above: -0.181, -0.152, -0.330